(1)
Computed, not measured: a PBEsol-optimized structure of Mg5As4H22O26 at the SCAN level of DFT.

Cell lengths 6.647, 7.686, 10.433 Å; angles 80.77, 81.26, 84.47 degrees
Sites, in units of the cell vectors:
Mg 0.000 0.000 0.000
Mg 0.111 0.632 0.568
Mg 0.398 0.919 0.404
Mg 0.602 0.081 0.596
Mg 0.889 0.368 0.432
As 0.083 0.038 0.663
As 0.402 0.370 0.367
As 0.598 0.630 0.633
As 0.917 0.962 0.337
H 0.091 0.467 0.139
H 0.106 0.335 0.766
H 0.118 0.762 0.856
H 0.185 0.650 0.989
H 0.194 0.186 0.296
H 0.259 0.212 0.064
H 0.266 0.478 0.772
H 0.332 0.473 0.125
H 0.354 0.010 0.103
H 0.371 0.127 0.812
H 0.470 0.720 0.221
H 0.530 0.280 0.779
H 0.629 0.873 0.188
H 0.646 0.990 0.897
H 0.668 0.527 0.875
H 0.734 0.522 0.228
H 0.741 0.788 0.936
H 0.806 0.814 0.704
H 0.815 0.350 0.011
H 0.882 0.238 0.144
H 0.894 0.665 0.234
H 0.909 0.533 0.861
O 0.022 0.820 0.701
O 0.098 0.122 0.803
O 0.107 0.846 0.415
O 0.124 0.467 0.750
O 0.156 0.773 0.942
O 0.174 0.439 0.446
O 0.219 0.451 0.077
O 0.261 0.087 0.048
O 0.314 0.047 0.568
O 0.354 0.180 0.304
O 0.414 0.683 0.534
O 0.482 0.852 0.219
O 0.487 0.512 0.231
O 0.513 0.488 0.769
O 0.518 0.148 0.781
O 0.586 0.317 0.466
O 0.646 0.820 0.696
O 0.686 0.953 0.432
O 0.739 0.913 0.952
O 0.781 0.549 0.923
O 0.826 0.561 0.554
O 0.844 0.227 0.058
O 0.876 0.533 0.250
O 0.893 0.154 0.585
O 0.902 0.878 0.197
O 0.978 0.180 0.299

Output
- Final energy: -431.5 eV per cell
- N(E_F): 0.00 states/eV per cell

(2)
Computed, not measured: a PBEsol-optimized structure of LaTeRh3 at the SCAN level of DFT.

Cell lengths 4.829, 4.829, 4.829 Å; angles 90.00, 90.00, 90.00 degrees
Sites, in units of the cell vectors:
La 0.000 0.000 0.000
Te 0.500 0.500 0.500
Rh 0.000 0.000 0.500
Rh 0.000 0.500 0.000
Rh 0.500 0.000 0.000

Output
- Uncorrected formation energy: 0.916 eV per atom
- N(E_F): 4.46 states/eV per cell

(3)
Computed, not measured: a PBEsol-optimized structure of GaHgS3 at the SCAN level of DFT.

Cell lengths 4.956, 4.956, 4.956 Å; angles 90.00, 90.00, 90.00 degrees
Sites, in units of the cell vectors:
Ga 0.000 0.000 0.000
Hg 0.500 0.500 0.500
S 0.000 0.500 0.500
S 0.500 0.000 0.500
S 0.500 0.500 0.000

Output
- Uncorrected formation energy: 0.722 eV per atom
- N(E_F): 5.07 states/eV per cell

What is the N(E_F) in the third record?
5.07 states/eV per cell